VASP calculation (PBE+U) on Li10Fe9CoO20 after structural relaxation.

```
data_Li10Fe9CoO20
_chemical_formula_sum 'Li10 Fe9 Co1 O20'
_cell_length_a 2.874
_cell_length_b 5.823
_cell_length_c 20.610
_cell_angle_alpha 82.92
_cell_angle_beta 90.00
_cell_angle_gamma 90.00
_symmetry_space_group_name_H-M 'P 1'
_symmetry_Int_Tables_number 1
loop_
_symmetry_equiv_pos_as_xyz
'x,y,z'
loop_
_atom_site_label
_atom_site_type_symbol
_atom_site_fract_x
_atom_site_fract_y
_atom_site_fract_z
_atom_site_occupancy
O1 O 0.500 0.229 0.504 1
O2 O 0.500 0.371 0.296 1
O3 O 0.000 0.370 0.797 1
O4 O 0.500 0.771 0.496 1
O5 O 0.500 0.969 0.095 1
O6 O 0.500 0.031 0.905 1
O7 O 0.000 0.225 0.003 1
O8 O 0.500 0.629 0.704 1
O9 O 0.000 0.171 0.195 1
O10 O 0.500 0.833 0.303 1
O11 O 0.000 0.570 0.396 1
O12 O 0.000 0.030 0.403 1
O13 O 0.500 0.167 0.697 1
O14 O 0.000 0.829 0.805 1
O15 O 0.000 0.775 0.997 1
O16 O 0.500 0.429 0.103 1
O17 O 0.000 0.630 0.203 1
O18 O 0.500 0.571 0.897 1
O19 O 0.000 0.430 0.604 1
O20 O 0.000 0.970 0.597 1
Fe1 Fe 0.000 0.601 0.300 1
Fe2 Fe 0.500 0.801 0.400 1
Fe3 Fe 0.000 0.802 0.901 1
Fe4 Fe 0.500 0.199 0.600 1
Fe5 Fe 0.500 0.599 0.801 1
Fe6 Fe 0.000 0.000 0.500 1
Fe7 Fe 0.000 0.399 0.700 1
Fe8 Fe 0.000 0.198 0.099 1
Fe9 Fe 0.500 0.401 0.199 1
Li1 Li 0.000 0.701 0.099 1
Li2 Li 0.500 0.700 0.601 1
Li3 Li 0.000 0.299 0.901 1
Li4 Li 0.500 0.500 0.000 1
Li5 Li 0.000 0.101 0.300 1
Li6 Li 0.500 0.900 0.200 1
Li7 Li 0.500 0.100 0.800 1
Li8 Li 0.000 0.899 0.700 1
Li9 Li 0.500 0.300 0.399 1
Li10 Li 0.000 0.500 0.500 1
Co1 Co 0.500 0.000 0.000 1
```

Properties
* Fermi-level density of states: 0.000 states/eV per atom
* theoretical density: 4.6 g/cm3
* spin magnetization: 0.176 μB/atom
* space-group type: P2/m
* uncorrected energy: -5.736 eV per atom